A | {"formula": "TbEr7Th2", "functional": "PBE", "state": "relaxed", "lattice": [[5.447, 0.000, 0.000], [0.000, 9.350, -0.678], [0.000, -4.823, 8.038]], "species": ["Er", "Er", "Er", "Er", "Th", "Er", "Er", "Tb", "Er", "Th"], "frac_coords": [[0.000, 0.205, 0.795], [0.500, 0.500, 0.500], [0.500, 0.715, 0.934], [0.500, 0.934, 0.715], [0.500, 0.295, 0.705], [0.500, 0.066, 0.285], [0.500, 0.285, 0.066], [0.000, 0.000, 0.000], [0.000, 0.795, 0.205], [0.500, 0.705, 0.295]], "crystal_system": "orthorhombic"}

B | {"formula": "TbEr7Th2", "functional": "PBE", "state": "relaxed", "lattice": [[-1.912, 2.034, -2.188], [10.867, -4.356, -4.919], [-8.141, -4.572, -0.027]], "species": ["Th", "Er", "Er", "Er", "Er", "Er", "Er", "Tb", "Th", "Er"], "frac_coords": [[0.700, 0.900, 0.300], [0.902, 0.302, 0.101], [0.806, 0.604, 0.202], [0.594, 0.197, 0.402], [0.098, 0.698, 0.899], [0.194, 0.396, 0.798], [0.406, 0.803, 0.598], [0.000, 0.000, 0.000], [0.300, 0.100, 0.700], [0.500, 0.500, 0.500]], "crystal_system": "triclinic"}

Which of them is most stable, and which least? Most stable: B; least stable: A.

A | {"formula": "TbEr2Th3", "functional": "PBE", "state": "relaxed", "lattice": [[3.562, 0.000, 0.000], [0.000, 9.965, 1.154], [0.000, -1.117, 10.588]], "species": ["Th", "Er", "Th", "Th", "Er", "Th", "Tb", "Th", "Tb", "Er", "Th", "Er"], "frac_coords": [[0.750, 0.626, 0.249], [0.250, 0.375, 0.417], [0.250, 0.874, 0.417], [0.750, 0.126, 0.583], [0.250, 0.869, 0.086], [0.250, 0.378, 0.082], [0.750, 0.123, 0.253], [0.250, 0.374, 0.751], [0.250, 0.877, 0.747], [0.750, 0.131, 0.914], [0.750, 0.622, 0.918], [0.750, 0.625, 0.583]], "crystal_system": "monoclinic"}

B | {"formula": "TbEr2Th3", "functional": "PBE", "state": "relaxed", "lattice": [[6.700, 0.118, 0.207], [0.000, 9.779, -5.601], [-0.191, -2.359, 7.218]], "species": ["Er", "Er", "Th", "Tb", "Th", "Tb", "Th", "Th", "Er", "Er", "Th", "Th"], "frac_coords": [[0.250, 0.896, 0.333], [0.750, 0.104, 0.667], [0.500, 0.500, 0.000], [0.750, 0.770, 0.000], [0.501, 0.833, 0.666], [0.250, 0.230, 0.000], [0.000, 0.500, 0.000], [0.499, 0.167, 0.334], [0.250, 0.563, 0.667], [0.750, 0.437, 0.333], [0.999, 0.167, 0.334], [0.001, 0.833, 0.666]], "crystal_system": "monoclinic"}

Which of them is most stable, and which least? Most stable: A; least stable: B.

A | {"formula": "TbErTmTh", "functional": "PBE", "state": "relaxed", "lattice": [[-0.935, -2.105, 2.727], [3.010, 1.914, 0.172], [-6.113, 9.360, 2.793]], "species": ["Tm", "Tb", "Th", "Er"], "frac_coords": [[0.136, 0.966, 0.116], [0.471, 0.133, 0.619], [0.303, 0.549, 0.868], [0.969, 0.382, 0.366]], "crystal_system": "trigonal"}

B | {"formula": "TbErTmTh", "functional": "PBE", "state": "relaxed", "lattice": [[-4.421, -3.303, 1.133], [-1.639, -3.891, -3.730], [0.780, -5.468, 1.108]], "species": ["Tm", "Er", "Tb", "Th"], "frac_coords": [[0.250, 0.250, 0.250], [0.750, 0.750, 0.750], [0.000, 0.000, 0.000], [0.500, 0.500, 0.500]], "crystal_system": "cubic"}

Which of them is most stable, and which least? Most stable: A; least stable: B.

A | {"formula": "TbYErTh", "functional": "PBE", "state": "relaxed", "lattice": [[-4.201, -1.326, -3.564], [0.183, -4.857, -2.914], [-3.577, -4.207, 1.276]], "species": ["Er", "Tb", "Th", "Y"], "frac_coords": [[0.750, 0.750, 0.750], [0.250, 0.250, 0.250], [0.000, 0.000, 0.000], [0.500, 0.500, 0.500]], "crystal_system": "cubic"}

B | {"formula": "TbYErTh", "functional": "PBE", "state": "relaxed", "lattice": [[-1.387, -3.220, 0.763], [2.490, 0.320, -2.565], [8.305, 0.342, 8.103]], "species": ["Th", "Tb", "Y", "Er"], "frac_coords": [[0.303, 0.549, 0.867], [0.472, 0.134, 0.621], [0.969, 0.383, 0.367], [0.134, 0.965, 0.114]], "crystal_system": "trigonal"}

Which of them is most stable, and which least? Most stable: B; least stable: A.

A | {"formula": "TbErTi", "functional": "PBE", "state": "relaxed", "lattice": [[-1.928, -2.871, -0.787], [0.470, -1.220, 3.298], [-10.533, 6.048, 3.738]], "species": ["Er", "Ti", "Tb", "Ti", "Tb", "Er"], "frac_coords": [[0.000, 0.500, 0.197], [0.500, 0.000, 0.043], [0.000, 0.500, 0.596], [0.000, 0.500, 0.957], [0.500, 0.000, 0.404], [0.500, 0.000, 0.803]], "crystal_system": "tetragonal"}

B | {"formula": "TbErTi", "functional": "PBE", "state": "relaxed", "lattice": [[3.302, 0.000, 0.000], [0.000, 5.243, 0.000], [0.000, -2.622, 4.541]], "species": ["Ti", "Tb", "Er"], "frac_coords": [[0.167, 0.333, 0.667], [0.667, 0.667, 0.333], [0.167, 0.000, 0.000]], "crystal_system": "hexagonal"}

Which of them is most stable, and which least? Most stable: A; least stable: B.

A | {"formula": "Tb2ErTi", "functional": "PBE", "state": "relaxed", "lattice": [[3.352, 0.000, 0.000], [1.676, 2.903, 0.000], [1.676, 0.968, 11.690]], "species": ["Tb", "Tb", "Ti", "Er"], "frac_coords": [[0.916, 0.916, 0.252], [0.084, 0.084, 0.748], [0.000, 0.000, 0.000], [0.500, 0.500, 0.500]], "crystal_system": "trigonal"}

B | {"formula": "Tb2ErTi", "functional": "PBE", "state": "relaxed", "lattice": [[3.412, 0.000, 0.000], [0.000, 3.412, 0.000], [0.000, 0.000, 9.425]], "species": ["Er", "Tb", "Tb", "Ti"], "frac_coords": [[0.500, 0.500, 0.500], [0.000, 0.000, 0.778], [0.000, 0.000, 0.222], [0.500, 0.500, 0.000]], "crystal_system": "tetragonal"}

Which of them is most stable, and which least? Most stable: B; least stable: A.

A | {"formula": "Tb3Er3Tl", "functional": "PBE", "state": "relaxed", "lattice": [[-1.564, 2.733, -4.529], [-8.473, -3.994, 0.516], [1.622, 8.148, 4.357]], "species": ["Tb", "Tb", "Tb", "Tl", "Er", "Tb", "Tl", "Tb", "Er", "Er", "Er", "Tb", "Er", "Er"], "frac_coords": [[0.250, 0.106, 0.478], [0.750, 0.894, 0.522], [0.750, 0.629, 0.106], [0.250, 0.667, 0.333], [0.750, 0.761, 0.823], [0.250, 0.371, 0.894], [0.750, 0.333, 0.667], [0.750, 0.478, 0.372], [0.750, 0.062, 0.239], [0.750, 0.177, 0.938], [0.250, 0.823, 0.062], [0.250, 0.522, 0.628], [0.250, 0.938, 0.761], [0.250, 0.239, 0.177]], "crystal_system": "hexagonal"}

B | {"formula": "Tb3Er3Tl", "functional": "PBE", "state": "relaxed", "lattice": [[5.179, 0.000, 0.000], [0.000, 13.096, 0.000], [0.000, 0.000, 12.846]], "species": ["Er", "Tb", "Tb", "Er", "Tb", "Er", "Er", "Tl", "Tb", "Tb", "Er", "Er", "Tl", "Tb", "Tb", "Er", "Tb", "Er", "Tl", "Tb", "Er", "Er", "Er", "Tb", "Tb", "Tl", "Er", "Tb"], "frac_coords": [[0.250, 0.327, 0.226], [0.250, 0.273, 0.948], [0.750, 0.727, 0.052], [0.250, 0.816, 0.866], [0.250, 0.555, 0.932], [0.750, 0.173, 0.726], [0.750, 0.184, 0.134], [0.750, 0.943, 0.189], [0.250, 0.510, 0.434], [0.750, 0.490, 0.566], [0.250, 0.316, 0.634], [0.750, 0.673, 0.774], [0.750, 0.443, 0.311], [0.250, 0.773, 0.552], [0.250, 0.055, 0.568], [0.750, 0.413, 0.808], [0.250, 0.010, 0.066], [0.750, 0.913, 0.692], [0.250, 0.057, 0.811], [0.750, 0.990, 0.934], [0.250, 0.087, 0.308], [0.250, 0.827, 0.274], [0.750, 0.684, 0.366], [0.750, 0.227, 0.448], [0.750, 0.445, 0.068], [0.250, 0.557, 0.689], [0.250, 0.587, 0.192], [0.750, 0.945, 0.432]], "crystal_system": "orthorhombic"}

Which of them is most stable, and which least? Most stable: A; least stable: B.

A | {"formula": "TbErTl", "functional": "PBE", "state": "relaxed", "lattice": [[-3.754, -1.205, -3.349], [1.074, -2.875, -4.164], [-1.734, -4.864, -0.302]], "species": ["Tl", "Er", "Tb"], "frac_coords": [[0.250, 0.250, 0.250], [0.000, 0.000, 0.000], [0.500, 0.500, 0.500]], "crystal_system": "cubic"}

B | {"formula": "TbErTl", "functional": "PBE", "state": "relaxed", "lattice": [[5.397, 0.000, 0.000], [-2.697, 4.674, 0.000], [0.000, 0.000, 6.708]], "species": ["Er", "Tb", "Tb", "Er", "Tl", "Tl"], "frac_coords": [[0.333, 0.167, 0.250], [0.000, 0.500, 0.000], [0.000, 0.500, 0.500], [0.667, 0.833, 0.750], [0.667, 0.833, 0.250], [0.333, 0.167, 0.750]], "crystal_system": "hexagonal"}

Which of them is most stable, and which least? Most stable: B; least stable: A.